Record 1
First-principles (PBE) data for crystalline LaSm3Dy at its relaxed geometry, as listed in the Alexandria database.

Cell: 10.276 3.637 18.202 Å, 90.00 90.00 90.00°
Element x y z (fractional)
La1 0.127 0.250 0.051
La2 0.373 0.750 0.551
La3 0.627 0.250 0.449
La4 0.873 0.750 0.949
Sm1 0.121 0.250 0.449
Sm2 0.125 0.250 0.250
Sm3 0.127 0.250 0.849
Sm4 0.373 0.750 0.349
Sm5 0.375 0.750 0.750
Sm6 0.379 0.750 0.949
Sm7 0.621 0.250 0.051
Sm8 0.625 0.250 0.250
Sm9 0.627 0.250 0.651
Sm10 0.873 0.750 0.151
Sm11 0.875 0.750 0.750
Sm12 0.879 0.750 0.551
Dy1 0.122 0.250 0.651
Dy2 0.378 0.750 0.151
Dy3 0.622 0.250 0.849
Dy4 0.878 0.750 0.349

---

Record 2
First-principles (PBE) data for crystalline La8Sm3Dy2 at its relaxed geometry, as listed in the Alexandria database.

Cell: 11.035 11.035 5.904 Å, 90.05 90.05 41.04°
Element x y z (fractional)
La1 0.097 0.691 0.999
La2 0.175 0.175 0.503
La3 0.309 0.903 0.001
La4 0.366 0.366 0.501
La5 0.634 0.634 0.499
La6 0.691 0.097 0.999
La7 0.825 0.825 0.497
La8 0.903 0.309 0.001
Sm1 0.218 0.782 0.500
Sm2 0.500 0.500 0.000
Sm3 0.782 0.218 0.500
Dy1 0.259 0.259 0.003
Dy2 0.741 0.741 0.997

---

Record 3
First-principles (PBE) data for crystalline LaSm3Dy2 at its relaxed geometry, as listed in the Alexandria database.

Cell: 6.728 6.728 11.455 Å, 115.09 115.09 63.14°
Element x y z (fractional)
La1 0.004 0.996 0.750
La2 0.996 0.004 0.250
Sm1 0.083 0.579 0.915
Sm2 0.421 0.917 0.585
Sm3 0.498 0.502 0.750
Sm4 0.502 0.498 0.250
Sm5 0.579 0.083 0.415
Sm6 0.917 0.421 0.085
Dy1 0.085 0.586 0.419
Dy2 0.414 0.915 0.081
Dy3 0.586 0.085 0.919
Dy4 0.915 0.414 0.581

---

Record 4
First-principles (PBE) data for crystalline La2Sm2Dy7 at its relaxed geometry, as listed in the Alexandria database.

Cell: 6.937 6.937 9.438 Å, 90.04 90.04 56.44°
Element x y z (fractional)
La1 0.248 0.752 0.000
La2 0.752 0.248 0.000
Sm1 0.227 0.227 0.500
Sm2 0.773 0.773 0.500
Dy1 0.000 0.000 0.319
Dy2 0.000 0.000 0.681
Dy3 0.000 0.500 0.182
Dy4 0.000 0.500 0.818
Dy5 0.500 0.000 0.182
Dy6 0.500 0.000 0.818
Dy7 0.500 0.500 0.500

---

Record 5
First-principles (PBE) data for crystalline La3SmDy7 at its relaxed geometry, as listed in the Alexandria database.

Cell: 7.115 7.115 8.810 Å, 90.00 90.00 120.00°
Element x y z (fractional)
La1 0.167 0.334 0.000
La2 0.167 0.833 0.000
La3 0.666 0.833 0.000
Sm1 0.000 0.000 0.341
Dy1 0.001 0.501 0.341
Dy2 0.332 0.166 0.661
Dy3 0.333 0.667 0.659
Dy4 0.499 0.501 0.341
Dy5 0.499 0.999 0.341
Dy6 0.834 0.166 0.661
Dy7 0.834 0.668 0.661

---

Record 6
First-principles (PBE) data for crystalline La3Sm8Dy2 at its relaxed geometry, as listed in the Alexandria database.

Cell: 10.976 10.976 5.767 Å, 90.11 90.11 41.43°
Element x y z (fractional)
La1 0.000 0.000 0.000
La2 0.295 0.705 0.500
La3 0.705 0.295 0.500
Sm1 0.137 0.137 0.498
Sm2 0.182 0.600 0.000
Sm3 0.325 0.325 0.497
Sm4 0.400 0.818 0.000
Sm5 0.600 0.182 0.000
Sm6 0.675 0.675 0.503
Sm7 0.818 0.400 0.000
Sm8 0.863 0.863 0.502
Dy1 0.242 0.242 0.996
Dy2 0.758 0.758 0.004

---

Record 7
First-principles (PBE) data for crystalline La2Sm3Dy at its relaxed geometry, as listed in the Alexandria database.

Cell: 7.124 10.000 5.785 Å, 90.00 90.00 90.00°
Element x y z (fractional)
La1 0.249 0.168 0.000
La2 0.251 0.668 0.500
La3 0.749 0.332 0.500
La4 0.751 0.832 0.000
Sm1 0.000 0.500 0.000
Sm2 0.250 0.333 0.500
Sm3 0.250 0.833 0.000
Sm4 0.500 0.000 0.500
Sm5 0.750 0.167 0.000
Sm6 0.750 0.667 0.500
Dy1 0.000 0.000 0.500
Dy2 0.500 0.500 0.000

---

Record 8
First-principles (PBE) data for crystalline LaSm6Dy5 at its relaxed geometry, as listed in the Alexandria database.

Cell: 9.534 9.534 9.534 Å, 149.00 115.35 73.42°
Element x y z (fractional)
La1 0.000 0.000 0.000
Sm1 0.085 0.833 0.252
Sm2 0.253 0.500 0.753
Sm3 0.419 0.167 0.252
Sm4 0.581 0.833 0.748
Sm5 0.747 0.500 0.247
Sm6 0.915 0.167 0.748
Dy1 0.168 0.668 0.500
Dy2 0.333 0.333 0.000
Dy3 0.500 0.000 0.500
Dy4 0.667 0.667 0.000
Dy5 0.832 0.332 0.500

---

Record 9
First-principles (PBE) data for crystalline La6Sm2Dy at its relaxed geometry, as listed in the Alexandria database.

Cell: 10.221 10.221 3.703 Å, 90.00 90.00 124.16°
Element x y z (fractional)
La1 0.007 0.336 0.000
La2 0.179 0.179 0.500
La3 0.336 0.007 0.000
La4 0.664 0.993 0.000
La5 0.821 0.821 0.500
La6 0.993 0.664 0.000
Sm1 0.327 0.673 0.500
Sm2 0.673 0.327 0.500
Dy1 0.500 0.500 0.000

---

Record 10
First-principles (PBE) data for crystalline La7SmDy12 at its relaxed geometry, as listed in the Alexandria database.

Cell: 9.852 9.852 9.852 Å, 109.47 109.47 109.47°
Element x y z (fractional)
La1 0.000 0.000 0.500
La2 0.000 0.500 0.000
La3 0.000 0.500 0.500
La4 0.500 0.000 0.000
La5 0.500 0.000 0.500
La6 0.500 0.500 0.000
La7 0.500 0.500 0.500
Sm1 0.000 0.000 0.000
Dy1 0.001 0.753 0.248
Dy2 0.247 0.248 0.495
Dy3 0.247 0.752 0.999
Dy4 0.248 0.001 0.753
Dy5 0.248 0.495 0.247
Dy6 0.495 0.247 0.248
Dy7 0.505 0.753 0.752
Dy8 0.752 0.505 0.753
Dy9 0.752 0.999 0.247
Dy10 0.753 0.248 0.001
Dy11 0.753 0.752 0.505
Dy12 0.999 0.247 0.752

---

Record 11
First-principles (PBE) data for crystalline LaSm6Dy12 at its relaxed geometry, as listed in the Alexandria database.

Cell: 9.474 9.474 9.474 Å, 109.13 109.13 109.13°
Element x y z (fractional)
La1 0.000 0.000 0.000
Sm1 0.230 0.674 0.674
Sm2 0.326 0.326 0.770
Sm3 0.326 0.770 0.326
Sm4 0.674 0.230 0.674
Sm5 0.674 0.674 0.230
Sm6 0.770 0.326 0.326
Dy1 0.107 0.500 0.893
Dy2 0.107 0.893 0.500
Dy3 0.178 0.383 0.383
Dy4 0.383 0.178 0.383
Dy5 0.383 0.383 0.178
Dy6 0.500 0.107 0.893
Dy7 0.500 0.893 0.107
Dy8 0.617 0.617 0.822
Dy9 0.617 0.822 0.617
Dy10 0.822 0.617 0.617
Dy11 0.893 0.107 0.500
Dy12 0.893 0.500 0.107

---

Record 12
First-principles (PBE) data for crystalline La4Sm5Dy at its relaxed geometry, as listed in the Alexandria database.

Cell: 10.772 10.772 5.960 Å, 90.00 90.00 90.00°
Element x y z (fractional)
La1 0.047 0.750 0.129
La2 0.250 0.547 0.871
La3 0.250 0.953 0.871
La4 0.453 0.750 0.129
La5 0.547 0.250 0.871
La6 0.750 0.047 0.129
La7 0.750 0.453 0.129
La8 0.953 0.250 0.871
Sm1 0.091 0.091 0.346
Sm2 0.091 0.409 0.346
Sm3 0.250 0.750 0.500
Sm4 0.409 0.091 0.346
Sm5 0.409 0.409 0.346
Sm6 0.591 0.591 0.654
Sm7 0.591 0.909 0.654
Sm8 0.750 0.250 0.500
Sm9 0.909 0.591 0.654
Sm10 0.909 0.909 0.654
Dy1 0.250 0.250 0.853
Dy2 0.750 0.750 0.147

---

Record 13
First-principles (PBE) data for crystalline La3SmDy2 at its relaxed geometry, as listed in the Alexandria database.

Cell: 10.512 10.512 10.512 Å, 160.82 146.69 38.72°
Element x y z (fractional)
La1 0.000 0.000 0.000
La2 0.311 0.811 0.500
La3 0.689 0.189 0.500
Sm1 0.500 0.000 0.500
Dy1 0.137 0.637 0.500
Dy2 0.863 0.363 0.500

---

Record 14
First-principles (PBE) data for crystalline La4Sm3Dy8 at its relaxed geometry, as listed in the Alexandria database.

Cell: 9.380 9.380 6.826 Å, 111.26 111.26 87.28°
Element x y z (fractional)
La1 0.000 0.000 0.000
La2 0.000 0.000 0.500
La3 0.000 0.500 0.000
La4 0.500 0.000 0.000
Sm1 0.000 0.500 0.500
Sm2 0.500 0.000 0.500
Sm3 0.500 0.500 0.000
Dy1 0.257 0.743 0.000
Dy2 0.269 0.269 0.510
Dy3 0.271 0.271 0.036
Dy4 0.362 0.638 0.500
Dy5 0.638 0.362 0.500
Dy6 0.729 0.729 0.964
Dy7 0.731 0.731 0.490
Dy8 0.743 0.257 0.000

---

Record 15
First-principles (PBE) data for crystalline La4SmDy15 at its relaxed geometry, as listed in the Alexandria database.

Cell: 5.091 5.091 25.269 Å, 90.00 90.00 90.00°
Element x y z (fractional)
La1 0.000 0.000 0.100
La2 0.000 0.000 0.300
La3 0.000 0.000 0.700
La4 0.000 0.000 0.900
Sm1 0.000 0.000 0.500
Dy1 0.000 0.500 0.000
Dy2 0.000 0.500 0.201
Dy3 0.000 0.500 0.402
Dy4 0.000 0.500 0.598
Dy5 0.000 0.500 0.799
Dy6 0.500 0.000 0.000
Dy7 0.500 0.000 0.201
Dy8 0.500 0.000 0.402
Dy9 0.500 0.000 0.598
Dy10 0.500 0.000 0.799
Dy11 0.500 0.500 0.100
Dy12 0.500 0.500 0.301
Dy13 0.500 0.500 0.500
Dy14 0.500 0.500 0.699
Dy15 0.500 0.500 0.900

---

Record 16
First-principles (PBE) data for crystalline La4Sm4Dy5 at its relaxed geometry, as listed in the Alexandria database.

Cell: 9.620 9.620 9.620 Å, 94.09 94.09 149.01°
Element x y z (fractional)
La1 0.079 0.383 0.462
La2 0.383 0.921 0.305
La3 0.617 0.079 0.695
La4 0.921 0.617 0.538
Sm1 0.153 0.771 0.924
Sm2 0.229 0.153 0.381
Sm3 0.771 0.847 0.619
Sm4 0.847 0.229 0.076
Dy1 0.000 0.000 0.000
Dy2 0.312 0.539 0.852
Dy3 0.461 0.312 0.773
Dy4 0.539 0.688 0.227
Dy5 0.688 0.461 0.148

---

Record 17
First-principles (PBE) data for crystalline LaSm4Dy2 at its relaxed geometry, as listed in the Alexandria database.

Cell: 6.591 8.620 8.915 Å, 88.34 82.60 70.84°
Element x y z (fractional)
La1 0.000 0.000 0.000
La2 0.412 0.205 0.874
Sm1 0.019 0.557 0.053
Sm2 0.138 0.211 0.289
Sm3 0.178 0.762 0.336
Sm4 0.406 0.634 0.816
Sm5 0.584 0.403 0.146
Sm6 0.700 0.053 0.396
Sm7 0.863 0.786 0.715
Sm8 0.877 0.338 0.717
Dy1 0.287 0.977 0.615
Dy2 0.330 0.416 0.530
Dy3 0.546 0.853 0.094
Dy4 0.717 0.625 0.423

---

Record 18
First-principles (PBE) data for crystalline La6Sm7Dy16 at its relaxed geometry, as listed in the Alexandria database.

Cell: 11.192 11.192 11.192 Å, 60.00 60.00 60.00°
Element x y z (fractional)
La1 0.222 0.222 0.778
La2 0.222 0.778 0.222
La3 0.222 0.778 0.778
La4 0.778 0.222 0.222
La5 0.778 0.222 0.778
La6 0.778 0.778 0.222
Sm1 0.000 0.000 0.000
Sm2 0.000 0.000 0.500
Sm3 0.000 0.500 0.000
Sm4 0.000 0.500 0.500
Sm5 0.500 0.000 0.000
Sm6 0.500 0.000 0.500
Sm7 0.500 0.500 0.000
Dy1 0.151 0.151 0.151
Dy2 0.151 0.151 0.547
Dy3 0.151 0.547 0.151
Dy4 0.154 0.615 0.615
Dy5 0.385 0.385 0.385
Dy6 0.385 0.385 0.846
Dy7 0.385 0.846 0.385
Dy8 0.453 0.849 0.849
Dy9 0.547 0.151 0.151
Dy10 0.615 0.154 0.615
Dy11 0.615 0.615 0.154
Dy12 0.615 0.615 0.615
Dy13 0.846 0.385 0.385
Dy14 0.849 0.453 0.849
Dy15 0.849 0.849 0.453
Dy16 0.849 0.849 0.849

---

Electronic total energy, respectively: -4.72 -4.65 -4.65 -4.34 -4.53 -4.52 -4.70 -4.67 -4.73 -4.12 -4.23 -4.63 -4.48 -4.37 -4.65 -4.71 -4.64 -4.51 eV/atom.
Calculated formation energy, respectively: 0.099 2.346 0.363 3.773 1.904 2.949 0.388 0.248 1.048 12.104 8.016 1.643 1.813 5.130 0.549 0.333 0.524 5.499 eV per formula unit.